# 1
# MoS2I2 | Alexandria via LeMat-Bulk | GGA-PBE | optimized geometry
# ΔE to the lowest computed polymorph	452	meV/atom
# space group	P4/mbm, No. 127
# total magnetic moment	3.87	μB per cell
data_MoS2I2
_cell_length_a 6.169
_cell_length_b 6.169
_cell_length_c 8.607
_cell_angle_alpha 90.00
_cell_angle_beta 90.00
_cell_angle_gamma 90.00
_symmetry_space_group_name_H-M 'P 1'
_symmetry_Int_Tables_number 1
loop_
_symmetry_equiv_pos_as_xyz
'x,y,z'
loop_
_atom_site_label
_atom_site_type_symbol
_atom_site_fract_x
_atom_site_fract_y
_atom_site_fract_z
Mo1 Mo 0.000 0.000 0.000
Mo2 Mo 0.500 0.500 0.000
I1 I 0.185 0.685 0.500
I2 I 0.815 0.315 0.500
I3 I 0.315 0.185 0.500
I4 I 0.685 0.815 0.500
S1 S 0.645 0.145 0.000
S2 S 0.355 0.855 0.000
S3 S 0.145 0.355 0.000
S4 S 0.855 0.645 0.000

# 2
# Mo3SI | Alexandria via LeMat-Bulk | GGA-PBE | optimized geometry
# ΔE to the lowest computed polymorph	0	meV/atom
# space group	Pm-3m, No. 221
# total magnetic moment	0.00	μB per cell
data_Mo3SI
_cell_length_a 4.542
_cell_length_b 4.542
_cell_length_c 4.542
_cell_angle_alpha 90.00
_cell_angle_beta 90.00
_cell_angle_gamma 90.00
_symmetry_space_group_name_H-M 'P 1'
_symmetry_Int_Tables_number 1
loop_
_symmetry_equiv_pos_as_xyz
'x,y,z'
loop_
_atom_site_label
_atom_site_type_symbol
_atom_site_fract_x
_atom_site_fract_y
_atom_site_fract_z
Mo1 Mo 0.500 0.000 0.000
Mo2 Mo 0.000 0.000 0.500
Mo3 Mo 0.000 0.500 0.000
S1 S 0.000 0.000 0.000
I1 I 0.500 0.500 0.500

# 3
# MoS2I | Alexandria via LeMat-Bulk | GGA-PBE | optimized geometry
# ΔE to the lowest computed polymorph	120	meV/atom
# space group	C2/c, No. 15
# total magnetic moment	0.00	μB per cell
data_MoS2I
_cell_length_a 4.939
_cell_length_b 5.940
_cell_length_c 8.444
_cell_angle_alpha 82.69
_cell_angle_beta 72.99
_cell_angle_gamma 64.20
_symmetry_space_group_name_H-M 'P 1'
_symmetry_Int_Tables_number 1
loop_
_symmetry_equiv_pos_as_xyz
'x,y,z'
loop_
_atom_site_label
_atom_site_type_symbol
_atom_site_fract_x
_atom_site_fract_y
_atom_site_fract_z
S1 S 0.496 0.179 0.651
S2 S 0.147 0.679 0.349
S3 S 0.853 0.321 0.651
S4 S 0.504 0.821 0.349
I1 I 0.898 0.250 0.204
I2 I 0.102 0.750 0.796
Mo1 Mo 0.285 0.250 0.430
Mo2 Mo 0.715 0.750 0.570

# 4
# MoS2I | Alexandria via LeMat-Bulk | GGA-PBE | optimized geometry
# ΔE to the lowest computed polymorph	348	meV/atom
# space group	I-42d, No. 122
# total magnetic moment	0.00	μB per cell
data_MoS2I
_cell_length_a 6.847
_cell_length_b 6.847
_cell_length_c 6.906
_cell_angle_alpha 60.29
_cell_angle_beta 60.29
_cell_angle_gamma 90.00
_symmetry_space_group_name_H-M 'P 1'
_symmetry_Int_Tables_number 1
loop_
_symmetry_equiv_pos_as_xyz
'x,y,z'
loop_
_atom_site_label
_atom_site_type_symbol
_atom_site_fract_x
_atom_site_fract_y
_atom_site_fract_z
Mo1 Mo 0.250 0.750 0.500
Mo2 Mo 0.500 0.500 0.000
I1 I 0.750 0.250 0.500
I2 I 0.000 0.000 0.000
S1 S 0.262 0.625 0.250
S2 S 0.488 0.125 0.250
S3 S 0.875 0.738 0.750
S4 S 0.375 0.512 0.750

# 5
# Mo3SI | Alexandria via LeMat-Bulk | GGA-PBE | optimized geometry
# ΔE to the lowest computed polymorph	1492	meV/atom
# space group	Pm-3m, No. 221
# total magnetic moment	0.00	μB per cell
data_Mo3SI
_cell_length_a 4.900
_cell_length_b 4.900
_cell_length_c 4.900
_cell_angle_alpha 90.00
_cell_angle_beta 90.00
_cell_angle_gamma 90.00
_symmetry_space_group_name_H-M 'P 1'
_symmetry_Int_Tables_number 1
loop_
_symmetry_equiv_pos_as_xyz
'x,y,z'
loop_
_atom_site_label
_atom_site_type_symbol
_atom_site_fract_x
_atom_site_fract_y
_atom_site_fract_z
I1 I 0.000 0.000 0.000
S1 S 0.500 0.500 0.500
Mo1 Mo 0.000 0.000 0.500
Mo2 Mo 0.000 0.500 0.000
Mo3 Mo 0.500 0.000 0.000

# 6
# MoS3I | Alexandria via LeMat-Bulk | GGA-PBE | optimized geometry
# ΔE to the lowest computed polymorph	1325	meV/atom
# space group	Pm-3m, No. 221
# total magnetic moment	3.97	μB per cell
data_MoS3I
_cell_length_a 5.056
_cell_length_b 5.056
_cell_length_c 5.056
_cell_angle_alpha 90.00
_cell_angle_beta 90.00
_cell_angle_gamma 90.00
_symmetry_space_group_name_H-M 'P 1'
_symmetry_Int_Tables_number 1
loop_
_symmetry_equiv_pos_as_xyz
'x,y,z'
loop_
_atom_site_label
_atom_site_type_symbol
_atom_site_fract_x
_atom_site_fract_y
_atom_site_fract_z
S1 S 0.000 0.000 0.500
S2 S 0.000 0.500 0.000
S3 S 0.500 0.000 0.000
Mo1 Mo 0.500 0.500 0.500
I1 I 0.000 0.000 0.000